Record 1
KPmNO | PBE | optimized geometry

Unit cell a=5.286 b=5.286 c=4.851 alpha=90.00 beta=90.00 gamma=90.00
Fractional positions:
O 0.250 0.750 0.000
O 0.750 0.250 0.000
N 0.750 0.750 0.501
N 0.250 0.250 0.499
Pm 0.250 0.750 0.500
Pm 0.750 0.250 0.500
K 0.750 0.750 0.001
K 0.250 0.250 0.999

Properties
**E_tot**: -0.4298 Ry per atom
**Total magnetization**: 0.250 μB per atom
**Offset from the most stable computed form**: 114 meV/atom

=====

Record 2
KPmNO | PBE | optimized geometry

Unit cell a=6.973 b=8.709 c=6.252 alpha=90.00 beta=90.00 gamma=90.00
Site moments in Bohr magnetons follow the coordinates.
Fractional positions:
N 0.533 0.828 0.578  0.58
N 0.967 0.828 0.078  0.57
N 0.467 0.172 0.078  0.57
N 0.033 0.172 0.578  0.59
O 0.107 0.576 0.619  0.01
O 0.393 0.576 0.119  0.02
O 0.893 0.424 0.119  0.02
O 0.607 0.424 0.619  0.01
K 0.576 0.881 0.024  0.01
K 0.924 0.881 0.524  0.01
K 0.076 0.119 0.024  0.01
K 0.424 0.119 0.524  0.01
Pm 0.092 0.604 0.981  0.01
Pm 0.592 0.396 0.981  0.01
Pm 0.408 0.604 0.481  0.01
Pm 0.908 0.396 0.481  0.02

Properties
**E_tot**: -0.4314 Ry per atom
**Total magnetization**: 0.249 μB per atom
**Offset from the most stable computed form**: 92 meV/atom

=====

Record 3
KPmNO | PBE | optimized geometry

Unit cell a=5.292 b=5.292 c=4.852 alpha=90.00 beta=90.00 gamma=90.00
Fractional positions:
N 0.250 0.250 0.500
N 0.750 0.750 0.500
Pm 0.250 0.750 0.500
Pm 0.750 0.250 0.500
O 0.750 0.250 0.000
O 0.250 0.750 0.000
K 0.750 0.750 0.000
K 0.250 0.250 0.000

Properties
**E_tot**: -0.4296 Ry per atom
**Total magnetization**: 0.251 μB per atom
**Offset from the most stable computed form**: 117 meV/atom

=====

Record 4
KPmNO | PBE | optimized geometry

Unit cell a=4.113 b=6.213 c=7.207 alpha=90.00 beta=90.00 gamma=90.00
Site moments in Bohr magnetons follow the coordinates.
Fractional positions:
K 0.000 0.971 0.677  0.01
K 0.000 0.471 0.323  0.01
Pm 0.500 0.000 0.162  0.01
Pm 0.500 0.500 0.838  0.01
N 0.000 0.931 0.302  0.59
N 0.000 0.431 0.698  0.59
O 0.500 0.352 0.115  0.03
O 0.500 0.852 0.885  0.03

Properties
**E_tot**: -0.4382 Ry per atom
**Total magnetization**: 0.250 μB per atom
**Offset from the most stable computed form**: 0 meV/atom